# KCl2F2

A relaxed structure of KCl2F2 (PBE-GGA, Alexandria via LeMat-Bulk).

Calculated values
The symmetry is P-3m1 (164). As for the raw formation energy: -0.947 eV per atom.

Cell lengths 4.270, 4.270, 8.238 Å; angles 90.00, 90.00, 120.00 degrees
Fractional positions:
K 0.000 0.000 0.000
Cl 0.333 0.667 0.366
Cl 0.667 0.333 0.634
F 0.333 0.667 0.127
F 0.667 0.333 0.873

=====

# CuTc4W

A relaxed structure of CuTc4W (PBE-GGA, Alexandria via LeMat-Bulk).

Calculated values
Its energy of formation from the pure elements is 2.23 eV per formula unit. The symmetry is F-43m (216).

Cell lengths 5.069, 5.069, 5.069 Å; angles 60.00, 60.00, 60.00 degrees
Fractional positions:
Cu 0.000 0.000 0.000
Tc 0.122 0.626 0.626
Tc 0.626 0.122 0.626
Tc 0.626 0.626 0.122
Tc 0.626 0.626 0.626
W 0.250 0.250 0.250